# PBE with a Hubbard U Cs2BaV2O7, optimized geometry
# - E_tot (eV/atom) = -6.6379
# - symmetry = R-3m, No. 166
# - crystal system = trigonal
# - spin magnetization (μB/cell) = 0.0
# - calculated volume (Å³ per atom) = 24.812
data_Cs2BaV2O7
_chemical_formula_sum 'Cs2 Ba1 V2 O7'
_space_group_name_H-M_alt 'P 1'
_space_group_IT_number 1
_cell_length_a 8.6659
_cell_length_b 8.6659
_cell_length_c 8.6659
_cell_angle_alpha 45.14
_cell_angle_beta 45.14
_cell_angle_gamma 45.14
loop_
_space_group_symop_operation_xyz
'x,y,z'
loop_
_atom_site_label
_atom_site_type_symbol
_atom_site_fract_x
_atom_site_fract_y
_atom_site_fract_z
Cs1 Cs 0.2429 0.2429 0.2429
Cs2 Cs 0.7571 0.7571 0.7571
Ba1 Ba 0.5000 0.5000 0.5000
V1 V 0.0780 0.0780 0.0780
V2 V 0.9220 0.9220 0.9220
O1 O 0.0000 0.0000 0.0000
O2 O 0.1784 0.7565 0.7565
O3 O 0.2435 0.2435 0.8216
O4 O 0.2435 0.8216 0.2435
O5 O 0.7565 0.1784 0.7565
O6 O 0.7565 0.7565 0.1784
O7 O 0.8216 0.2435 0.2435